# BAuN3 PBEsol optimized geometry
data_BAuN3
_space_group_name_H-M_alt 'P m -3 m'
_space_group_IT_number 221
_space_group_name_Hall '-P 4 2 3'
_cell_length_a 3.451
_cell_length_b 3.451
_cell_length_c 3.451
_cell_angle_alpha 90.00
_cell_angle_beta 90.00
_cell_angle_gamma 90.00
loop_
_atom_site_label
_atom_site_type_symbol
_atom_site_fract_x
_atom_site_fract_y
_atom_site_fract_z
B1 B 0.000 0.000 0.000
Au1 Au 0.500 0.500 0.500
N1 N 0.000 0.000 0.500
# Electronic total energy in eV/atom: -5.62
# DOS(E_F) in states/eV per cell: 2.58